A plane-wave DFT calculation with meta-GGA SCAN was carried out for a PBEsol-optimized structure of MgAg4Pb.

POSCAR file:
```
MgAg4Pb
1.0
0.000 3.887 3.887
3.887 0.000 3.887
3.887 3.887 0.000
Mg Ag Pb
1 4 1
Cartesian
0.000 0.000 0.000 Mg
2.912 2.912 2.912 Ag
4.863 4.863 2.912 Ag
4.863 2.912 4.863 Ag
2.912 4.863 4.863 Ag
5.831 5.831 5.831 Pb
```

Calculated values
The value obtained for the total energy is -206.28 eV/cell. As for the space group: F-43m (216).

A plane-wave DFT calculation with meta-GGA SCAN was carried out for a PBEsol-optimized structure of TlRuPt2Rh.

POSCAR file:
```
TlRuPt2Rh
1.0
4.865 0.000 0.000
0.000 4.865 0.000
0.000 0.000 4.886
Tl Ru Pt Rh
1 1 2 1
Cartesian
0.000 0.000 0.000 Tl
0.000 0.000 2.443 Ru
0.000 2.433 0.000 Pt
2.433 0.000 0.000 Pt
2.433 2.433 2.443 Rh
```

Calculated values
The value obtained for the total energy is -270.57 eV/cell. As for the space group: P4/mmm (123).

A plane-wave DFT calculation with meta-GGA SCAN was carried out for a PBEsol-optimized structure of GaSiSe2.

POSCAR file:
```
GaSiSe2
1.0
3.621 0.000 0.000
-1.811 3.136 0.000
0.000 0.000 23.817
Ga Si Se
3 3 6
Cartesian
0.000 0.000 0.000 Ga
0.000 2.091 15.878 Ga
1.811 1.045 7.939 Ga
0.000 0.000 11.909 Si
0.000 2.091 3.970 Si
1.811 1.045 19.848 Si
0.000 0.000 9.404 Se
0.000 0.000 14.413 Se
0.000 2.091 1.465 Se
0.000 2.091 6.474 Se
1.811 1.045 17.343 Se
1.811 1.045 22.352 Se
```

Calculated values
The uncorrected formation energy comes out at 0.1530 eV/atom. As for the space group: R-3m (166).